No. 1
VASP calculation (PBE) on crystalline MgTi2Au2 at its relaxed geometry.

abc: 3.738 3.738 7.335
angles: 75.24 75.24 90.00
Positions (direct):
Mg1 0.000 0.000 0.000
Au1 0.400 0.400 0.200
Au2 0.600 0.600 0.800
Ti1 0.750 0.250 0.500
Ti2 0.250 0.750 0.500

Computed properties:
E   -4.96 eV per atom

***

No. 2
VASP calculation (PBE) on crystalline BeIn2P at its relaxed geometry.

abc: 4.845 4.845 4.845
angles: 60.00 60.00 60.00
Positions (direct):
P1 0.750 0.750 0.750
Be1 0.500 0.500 0.500
In1 0.000 0.000 0.000
In2 0.250 0.250 0.250

Computed properties:
Excess energy over the best structure of this formula in the dataset   2.15 eV/f.u.

***

No. 3
VASP calculation (PBE) on crystalline AsOs2S at its relaxed geometry.

abc: 5.345 5.345 6.540
angles: 65.88 65.88 90.00
Positions (direct):
As1 0.000 0.000 0.000
As2 0.750 0.250 0.500
Os1 0.597 0.125 0.250
Os2 0.153 0.625 0.250
Os3 0.375 0.403 0.750
Os4 0.875 0.847 0.750
S1 0.500 0.500 0.000
S2 0.250 0.750 0.500

Computed properties:
Excess energy over the best structure of this formula in the dataset   0.00 eV/f.u.
Formation energy (no corrections)   7.9 kcal/mol of atoms

***

No. 4
VASP calculation (PBE) on crystalline Sc5Tc2O12 at its relaxed geometry.

abc: 5.485 7.228 6.435
angles: 105.96 115.23 90.00
Positions (direct):
Sc1 0.701 0.358 0.403
Sc2 0.682 0.795 0.365
Sc3 0.000 0.500 0.000
Sc4 0.318 0.205 0.635
Sc5 0.299 0.642 0.597
Tc1 0.216 0.000 0.000
Tc2 0.784 0.000 0.000
O1 0.016 0.794 0.032
O2 0.923 0.110 0.348
O3 0.425 0.110 0.348
O4 0.897 0.560 0.299
O5 0.402 0.560 0.299
O6 0.495 0.186 0.990
O7 0.505 0.814 0.010
O8 0.103 0.440 0.701
O9 0.598 0.440 0.701
O10 0.077 0.890 0.652
O11 0.575 0.890 0.652
O12 0.984 0.206 0.968

Computed properties:
Formation energy (no corrections)   -64.0 kcal/mol of atoms

***

No. 5
VASP calculation (PBE) on crystalline Rb3ErAs2O8 at its relaxed geometry.

abc: 5.968 5.968 8.164
angles: 90.00 90.00 120.00
Positions (direct):
Rb1 0.333 0.667 0.726
Rb2 0.667 0.333 0.274
Rb3 0.000 0.000 0.000
Er1 0.000 0.000 0.500
As1 0.333 0.667 0.266
As2 0.667 0.333 0.734
O1 0.333 0.667 0.060
O2 0.667 0.333 0.940
O3 0.176 0.824 0.341
O4 0.824 0.176 0.659
O5 0.176 0.352 0.341
O6 0.824 0.648 0.659
O7 0.648 0.824 0.341
O8 0.352 0.176 0.659

Computed properties:
Formation energy (no corrections)   -46.3 kcal/mol of atoms

***

No. 6
VASP calculation (PBE) on crystalline Fe2Ge2Pd at its relaxed geometry.

abc: 6.932 6.932 2.855
angles: 90.00 90.00 90.00
Positions (direct):
Ge1 0.336 0.836 0.000
Ge2 0.836 0.664 0.000
Ge3 0.664 0.164 0.000
Ge4 0.164 0.336 0.000
Fe1 0.129 0.629 0.500
Fe2 0.629 0.871 0.500
Fe3 0.871 0.371 0.500
Fe4 0.371 0.129 0.500
Pd1 0.000 0.000 0.000
Pd2 0.500 0.500 0.000

Computed properties:
Excess energy over the best structure of this formula in the dataset   0.00 eV/f.u.